# 1
{"formula": "YHo7Tm3", "functional": "PBE", "state": "optimized geometry", "e_form_mev_per_atom": 139, "dos_ef_per_ev_fu": 18.945, "volume_a3_per_cell": 348.0, "dft_energy_ev_per_atom": -4.581, "cell": [[-3.632, 4.299, -3.360], [-5.793, -6.162, 0.982], [-3.073, 2.290, 5.173]], "species": ["Y", "Ho", "Ho", "Ho", "Ho", "Ho", "Ho", "Ho", "Tm", "Tm", "Tm"], "frac_coords": [[0.500, 0.500, 0.500], [0.218, 0.214, 0.272], [0.292, 0.860, 0.554], [0.740, 0.410, 0.013], [0.260, 0.590, 0.987], [0.000, 0.500, 0.500], [0.708, 0.140, 0.446], [0.782, 0.786, 0.728], [0.932, 0.842, 0.197], [0.500, 0.000, 0.000], [0.068, 0.158, 0.803]]}

# 2
{"formula": "Y12Ho6Tm", "functional": "PBE", "state": "optimized geometry", "e_form_mev_per_atom": 152, "dos_ef_per_ev_fu": 34.513, "volume_a3_per_cell": 619.5, "dft_energy_ev_per_atom": -5.611, "cell": [[-6.635, 3.028, -4.424], [-0.791, -7.273, -4.386], [-5.585, -3.148, 5.628]], "species": ["Y", "Y", "Y", "Y", "Y", "Y", "Y", "Y", "Y", "Y", "Y", "Y", "Ho", "Ho", "Ho", "Ho", "Ho", "Ho", "Tm"], "frac_coords": [[0.777, 0.542, 0.436], [0.436, 0.777, 0.542], [0.542, 0.436, 0.777], [0.223, 0.458, 0.564], [0.564, 0.223, 0.458], [0.458, 0.564, 0.223], [0.011, 0.200, 0.359], [0.800, 0.641, 0.989], [0.641, 0.989, 0.800], [0.989, 0.800, 0.641], [0.200, 0.359, 0.011], [0.359, 0.011, 0.200], [0.744, 0.907, 0.305], [0.695, 0.256, 0.093], [0.093, 0.695, 0.256], [0.256, 0.093, 0.695], [0.305, 0.744, 0.907], [0.907, 0.305, 0.744], [0.000, 0.000, 0.000]]}

# 3
{"formula": "Y2HoTm9", "functional": "PBE", "state": "optimized geometry", "e_form_mev_per_atom": 29, "dos_ef_per_ev_fu": 17.916, "volume_a3_per_cell": 365.5, "dft_energy_ev_per_atom": -4.784, "cell": [[-1.638, -3.580, 3.011], [-0.749, -2.948, -3.913], [13.860, -5.247, 1.300]], "species": ["Y", "Y", "Ho", "Tm", "Tm", "Tm", "Tm", "Tm", "Tm", "Tm", "Tm", "Tm"], "frac_coords": [[0.000, 0.000, 0.333], [0.000, 0.000, 0.667], [0.000, 0.000, 0.000], [0.500, 0.500, 0.000], [0.500, 0.500, 0.333], [0.500, 0.500, 0.667], [0.500, 0.000, 0.166], [0.500, 0.000, 0.500], [0.500, 0.000, 0.834], [0.000, 0.500, 0.166], [0.000, 0.500, 0.500], [0.000, 0.500, 0.834]]}

# 4
{"formula": "Y2Ho4Tm5", "functional": "PBE", "state": "optimized geometry", "e_form_mev_per_atom": 25, "dos_ef_per_ev_fu": 15.003, "volume_a3_per_cell": 338.1, "dft_energy_ev_per_atom": -4.847, "cell": [[3.471, -0.520, -0.038], [-2.250, 8.815, -1.944], [1.823, -0.473, 11.515]], "species": ["Y", "Y", "Ho", "Ho", "Ho", "Ho", "Tm", "Tm", "Tm", "Tm", "Tm"], "frac_coords": [[0.863, 0.271, 0.817], [0.137, 0.729, 0.183], [0.773, 0.455, 0.364], [0.316, 0.362, 0.092], [0.227, 0.545, 0.636], [0.684, 0.638, 0.908], [0.956, 0.092, 0.273], [0.044, 0.908, 0.727], [0.592, 0.820, 0.456], [0.500, 0.000, 0.000], [0.408, 0.180, 0.544]]}

# 5
{"formula": "Y5Ho6Tm2", "functional": "PBE", "state": "optimized geometry", "e_form_mev_per_atom": 58, "dos_ef_per_ev_fu": 19.340, "volume_a3_per_cell": 825.3, "dft_energy_ev_per_atom": -5.229, "cell": [[-2.822, 0.510, 2.129], [-6.831, 0.029, -9.061], [-2.353, -20.157, 1.708]], "species": ["Y", "Y", "Y", "Y", "Y", "Y", "Y", "Y", "Y", "Y", "Ho", "Ho", "Ho", "Ho", "Ho", "Ho", "Ho", "Ho", "Ho", "Ho", "Ho", "Ho", "Tm", "Tm", "Tm", "Tm"], "frac_coords": [[0.500, 0.436, 0.425], [0.500, 0.564, 0.575], [0.500, 0.936, 0.075], [0.500, 0.064, 0.925], [0.500, 0.646, 0.281], [0.500, 0.354, 0.719], [0.500, 0.146, 0.219], [0.500, 0.854, 0.781], [0.500, 0.500, 0.000], [0.500, 0.000, 0.500], [0.000, 0.164, 0.384], [0.000, 0.836, 0.616], [0.000, 0.664, 0.116], [0.000, 0.336, 0.884], [0.500, 0.418, 0.152], [0.500, 0.582, 0.848], [0.500, 0.918, 0.348], [0.500, 0.082, 0.652], [0.000, 0.719, 0.445], [0.000, 0.281, 0.555], [0.000, 0.219, 0.055], [0.000, 0.781, 0.945], [0.000, 0.384, 0.286], [0.000, 0.616, 0.714], [0.000, 0.884, 0.214], [0.000, 0.116, 0.786]]}

# 6
{"formula": "YHo5Tm3", "functional": "PBE", "state": "optimized geometry", "e_form_mev_per_atom": 239, "dos_ef_per_ev_fu": 14.438, "volume_a3_per_cell": 571.0, "dft_energy_ev_per_atom": -4.513, "cell": [[-8.819, -2.160, -1.526], [-4.344, -6.854, 4.351], [-8.253, 1.005, 7.087]], "species": ["Y", "Y", "Ho", "Ho", "Ho", "Ho", "Ho", "Ho", "Ho", "Ho", "Ho", "Ho", "Tm", "Tm", "Tm", "Tm", "Tm", "Tm"], "frac_coords": [[0.668, 0.332, 0.750], [0.332, 0.668, 0.250], [0.228, 0.772, 0.750], [0.717, 0.477, 0.926], [0.531, 0.104, 0.202], [0.283, 0.523, 0.074], [0.896, 0.469, 0.298], [0.772, 0.228, 0.250], [0.477, 0.717, 0.426], [0.523, 0.283, 0.574], [0.104, 0.531, 0.702], [0.469, 0.896, 0.798], [0.000, 0.000, 0.000], [0.176, 0.255, 0.534], [0.000, 0.000, 0.500], [0.824, 0.745, 0.466], [0.255, 0.176, 0.034], [0.745, 0.824, 0.966]]}

# 7
{"formula": "Y4HoTm2", "functional": "PBE", "state": "optimized geometry", "e_form_mev_per_atom": 286, "dos_ef_per_ev_fu": 11.925, "volume_a3_per_cell": 457.2, "dft_energy_ev_per_atom": -5.339, "cell": [[-0.900, 6.622, -0.756], [-5.158, 3.445, 6.395], [5.993, 4.752, 4.569]], "species": ["Y", "Y", "Y", "Y", "Y", "Y", "Y", "Y", "Ho", "Ho", "Tm", "Tm", "Tm", "Tm"], "frac_coords": [[0.148, 0.359, 0.345], [0.148, 0.845, 0.859], [0.237, 0.238, 0.738], [0.787, 0.238, 0.738], [0.213, 0.762, 0.262], [0.852, 0.155, 0.141], [0.763, 0.762, 0.262], [0.852, 0.641, 0.655], [0.000, 0.500, 0.000], [0.500, 0.500, 0.000], [0.277, 0.973, 0.473], [0.500, 0.000, 0.000], [0.500, 0.500, 0.500], [0.723, 0.027, 0.527]]}

# 8
{"formula": "Y2HoTm", "functional": "PBE", "state": "optimized geometry", "e_form_mev_per_atom": 28, "dos_ef_per_ev_fu": 6.432, "volume_a3_per_cell": 125.3, "dft_energy_ev_per_atom": -5.466, "cell": [[-0.658, -1.499, 3.140], [-1.199, -3.328, 0.157], [10.238, -5.502, 1.514]], "species": ["Y", "Y", "Tm", "Ho"], "frac_coords": [[0.750, 0.750, 0.751], [0.250, 0.250, 0.249], [0.000, 0.000, 0.000], [0.500, 0.500, 0.500]]}

# 9
{"formula": "Y2HoTm", "functional": "PBE", "state": "optimized geometry", "e_form_mev_per_atom": 136, "dos_ef_per_ev_fu": 10.848, "volume_a3_per_cell": 127.9, "dft_energy_ev_per_atom": -5.358, "cell": [[5.655, 0.000, 0.000], [2.828, 4.898, 0.000], [2.828, 1.633, 4.618]], "species": ["Y", "Y", "Tm", "Ho"], "frac_coords": [[0.250, 0.250, 0.250], [0.750, 0.750, 0.750], [0.500, 0.500, 0.500], [0.000, 0.000, 0.000]]}

# 10
{"formula": "Y2Ho9Tm3", "functional": "PBE", "state": "optimized geometry", "e_form_mev_per_atom": 122, "dos_ef_per_ev_fu": 23.180, "volume_a3_per_cell": 443.4, "dft_energy_ev_per_atom": -4.703, "cell": [[4.972, 0.977, 2.198], [4.928, 8.973, 5.683], [2.861, 2.489, 13.251]], "species": ["Y", "Y", "Ho", "Ho", "Ho", "Ho", "Ho", "Ho", "Ho", "Ho", "Ho", "Tm", "Tm", "Tm"], "frac_coords": [[0.572, 0.077, 0.875], [0.474, 0.759, 0.258], [0.822, 0.569, 0.549], [0.328, 0.090, 0.691], [0.577, 0.012, 0.270], [0.363, 0.456, 0.302], [0.706, 0.289, 0.907], [0.853, 0.968, 0.464], [0.884, 0.270, 0.475], [0.919, 0.585, 0.802], [0.098, 0.532, 0.070], [0.221, 0.826, 0.026], [0.979, 0.234, 0.114], [0.204, 0.833, 0.697]]}

# 11
{"formula": "YHoTm4", "functional": "PBE", "state": "optimized geometry", "e_form_mev_per_atom": 257, "dos_ef_per_ev_fu": 11.216, "volume_a3_per_cell": 193.4, "dft_energy_ev_per_atom": -4.565, "cell": [[6.491, 0.000, 0.000], [3.245, 5.621, 0.000], [3.245, 1.874, 5.300]], "species": ["Y", "Tm", "Tm", "Tm", "Tm", "Ho"], "frac_coords": [[0.000, 0.000, 0.000], [0.625, 0.625, 0.125], [0.625, 0.125, 0.625], [0.625, 0.625, 0.625], [0.125, 0.625, 0.625], [0.250, 0.250, 0.250]]}

# 12
{"formula": "Y2Ho9Tm", "functional": "PBE", "state": "optimized geometry", "e_form_mev_per_atom": 66, "dos_ef_per_ev_fu": 21.168, "volume_a3_per_cell": 374.5, "dft_energy_ev_per_atom": -4.818, "cell": [[-2.269, -0.895, 2.471], [8.199, -4.939, 5.739], [-2.337, 10.771, 1.757]], "species": ["Y", "Y", "Ho", "Ho", "Ho", "Ho", "Ho", "Ho", "Ho", "Ho", "Ho", "Tm"], "frac_coords": [[0.000, 0.333, 0.667], [0.000, 0.667, 0.333], [0.000, 0.000, 0.500], [0.000, 0.500, 0.500], [0.000, 0.500, 0.000], [0.500, 0.350, 0.175], [0.500, 0.175, 0.825], [0.500, 0.175, 0.350], [0.500, 0.825, 0.650], [0.500, 0.825, 0.175], [0.500, 0.650, 0.825], [0.000, 0.000, 0.000]]}

# 13
{"formula": "Y3Ho5Tm2", "functional": "PBE", "state": "optimized geometry", "e_form_mev_per_atom": 203, "dos_ef_per_ev_fu": 16.298, "volume_a3_per_cell": 649.0, "dft_energy_ev_per_atom": -4.919, "cell": [[8.407, 1.659, -3.953], [0.326, 8.531, -4.020], [-1.805, -2.017, 10.726]], "species": ["Y", "Y", "Y", "Y", "Y", "Y", "Ho", "Ho", "Ho", "Ho", "Ho", "Ho", "Ho", "Ho", "Ho", "Ho", "Tm", "Tm", "Tm", "Tm"], "frac_coords": [[0.234, 0.984, 0.967], [0.766, 0.016, 0.033], [0.734, 0.481, 0.260], [0.266, 0.519, 0.740], [0.026, 0.778, 0.260], [0.974, 0.222, 0.740], [0.270, 0.520, 0.040], [0.730, 0.480, 0.960], [0.031, 0.781, 0.562], [0.531, 0.281, 0.562], [0.969, 0.219, 0.438], [0.469, 0.719, 0.438], [0.853, 0.606, 0.716], [0.147, 0.394, 0.284], [0.363, 0.110, 0.716], [0.637, 0.890, 0.284], [0.768, 0.015, 0.734], [0.232, 0.985, 0.266], [0.466, 0.719, 0.734], [0.534, 0.281, 0.266]]}

# 14
{"formula": "Y3Ho7Tm2", "functional": "PBE", "state": "optimized geometry", "e_form_mev_per_atom": 90, "dos_ef_per_ev_fu": 15.924, "volume_a3_per_cell": 377.6, "dft_energy_ev_per_atom": -4.941, "cell": [[-2.175, 2.742, 0.618], [-2.660, -0.984, -4.998], [-11.332, -11.134, 9.524]], "species": ["Y", "Y", "Y", "Ho", "Ho", "Ho", "Ho", "Ho", "Ho", "Ho", "Tm", "Tm"], "frac_coords": [[0.500, 0.500, 0.000], [0.000, 0.223, 0.367], [0.000, 0.777, 0.633], [0.500, 0.743, 0.463], [0.500, 0.257, 0.537], [0.000, 0.687, 0.144], [0.000, 0.000, 0.000], [0.000, 0.313, 0.856], [0.500, 0.811, 0.821], [0.500, 0.189, 0.179], [0.500, 0.711, 0.294], [0.500, 0.289, 0.706]]}

# 15
{"formula": "YHo10Tm4", "functional": "PBE", "state": "optimized geometry", "e_form_mev_per_atom": 726, "dos_ef_per_ev_fu": 14.469, "volume_a3_per_cell": 551.9, "dft_energy_ev_per_atom": -3.949, "cell": [[-6.818, 2.455, -2.329], [-6.219, -6.807, -1.406], [-5.945, 1.870, 6.939]], "species": ["Y", "Ho", "Ho", "Ho", "Ho", "Ho", "Ho", "Ho", "Ho", "Ho", "Ho", "Tm", "Tm", "Tm", "Tm"], "frac_coords": [[0.000, 0.000, 0.000], [0.250, 0.500, 0.500], [0.648, 0.302, 0.899], [0.050, 0.101, 0.302], [0.453, 0.899, 0.698], [0.849, 0.698, 0.101], [0.352, 0.698, 0.101], [0.750, 0.500, 0.500], [0.151, 0.302, 0.899], [0.547, 0.101, 0.302], [0.950, 0.899, 0.698], [0.400, 0.800, 0.400], [0.800, 0.600, 0.800], [0.200, 0.400, 0.200], [0.600, 0.200, 0.600]]}

# 16
{"formula": "Y7HoTm3", "functional": "PBE", "state": "optimized geometry", "e_form_mev_per_atom": 148, "dos_ef_per_ev_fu": 19.755, "volume_a3_per_cell": 356.1, "dft_energy_ev_per_atom": -5.602, "cell": [[-2.173, -3.303, -3.848], [-7.139, -2.707, 6.352], [0.160, 8.846, 0.228]], "species": ["Y", "Y", "Y", "Y", "Y", "Y", "Y", "Ho", "Tm", "Tm", "Tm"], "frac_coords": [[0.918, 0.831, 0.918], [0.854, 0.710, 0.354], [0.679, 0.361, 0.180], [0.321, 0.639, 0.820], [0.500, 0.000, 0.500], [0.146, 0.290, 0.646], [0.082, 0.169, 0.082], [0.500, 0.500, 0.500], [0.278, 0.999, 0.778], [0.000, 0.500, 0.000], [0.722, 0.001, 0.222]]}

# 17
{"formula": "Y8Ho3Tm3", "functional": "PBE", "state": "optimized geometry", "e_form_mev_per_atom": 126, "dos_ef_per_ev_fu": 22.900, "volume_a3_per_cell": 447.6, "dft_energy_ev_per_atom": -5.507, "cell": [[-2.325, 3.404, 3.802], [-2.744, -5.486, 7.369], [7.111, 5.093, 3.926]], "species": ["Y", "Y", "Y", "Y", "Y", "Y", "Y", "Y", "Ho", "Ho", "Ho", "Tm", "Tm", "Tm"], "frac_coords": [[0.658, 0.120, 0.564], [0.342, 0.880, 0.436], [0.658, 0.564, 0.120], [0.342, 0.436, 0.880], [0.841, 0.762, 0.555], [0.159, 0.238, 0.445], [0.841, 0.555, 0.762], [0.159, 0.445, 0.238], [0.500, 0.000, 0.000], [0.000, 0.820, 0.180], [0.000, 0.180, 0.820], [0.500, 0.500, 0.500], [0.799, 0.202, 0.202], [0.201, 0.798, 0.798]]}

# 18
{"formula": "YHo5Tm5", "functional": "PBE", "state": "optimized geometry", "e_form_mev_per_atom": 324, "dos_ef_per_ev_fu": 21.534, "volume_a3_per_cell": 357.1, "dft_energy_ev_per_atom": -4.377, "cell": [[-4.555, 0.543, -3.847], [3.594, -4.780, -0.272], [-6.869, -5.583, 7.346]], "species": ["Y", "Ho", "Ho", "Ho", "Ho", "Ho", "Tm", "Tm", "Tm", "Tm", "Tm"], "frac_coords": [[0.333, 0.667, 0.000], [0.667, 0.333, 0.156], [0.667, 0.333, 0.844], [0.333, 0.667, 0.318], [0.333, 0.667, 0.682], [0.000, 0.000, 0.000], [0.335, 0.167, 0.500], [0.000, 0.000, 0.265], [0.833, 0.665, 0.500], [0.833, 0.167, 0.500], [0.000, 0.000, 0.735]]}

# 19
{"formula": "Y5Ho2Tm5", "functional": "PBE", "state": "optimized geometry", "e_form_mev_per_atom": 73, "dos_ef_per_ev_fu": 23.020, "volume_a3_per_cell": 373.4, "dft_energy_ev_per_atom": -5.246, "cell": [[5.404, 0.000, 1.329], [2.433, 5.836, 1.756], [-0.046, 0.060, 11.841]], "species": ["Y", "Y", "Y", "Y", "Y", "Ho", "Ho", "Tm", "Tm", "Tm", "Tm", "Tm"], "frac_coords": [[0.500, 0.500, 0.500], [0.287, 0.388, 0.038], [0.455, 0.885, 0.205], [0.545, 0.115, 0.795], [0.713, 0.612, 0.962], [0.954, 0.388, 0.705], [0.046, 0.612, 0.295], [0.789, 0.885, 0.537], [0.249, 0.754, 0.748], [0.751, 0.246, 0.252], [0.211, 0.115, 0.463], [0.000, 0.000, 0.000]]}

# 20
{"formula": "Y7HoTm3", "functional": "PBE", "state": "optimized geometry", "e_form_mev_per_atom": 270, "dos_ef_per_ev_fu": 16.039, "volume_a3_per_cell": 359.0, "dft_energy_ev_per_atom": -5.479, "cell": [[-4.231, 0.941, -3.798], [-2.405, -5.754, 5.633], [-0.706, 5.304, 6.480]], "species": ["Y", "Y", "Y", "Y", "Y", "Y", "Y", "Ho", "Tm", "Tm", "Tm"], "frac_coords": [[0.207, 0.206, 0.206], [0.305, 0.009, 0.601], [0.695, 0.399, 0.991], [0.305, 0.601, 0.009], [0.000, 0.500, 0.500], [0.695, 0.991, 0.399], [0.793, 0.794, 0.794], [0.500, 0.500, 0.500], [0.000, 0.793, 0.207], [0.500, 0.000, 0.000], [0.000, 0.207, 0.793]]}